PBE Na2GaSnBr5, relaxed; crystal system = orthorhombic
1.0
-4.1969 0.0217 0.7506
2.4348 -8.8588 1.7607
2.7197 3.7484 15.0988
Br Sn Ga Na
10 2 2 4
Cartesian
0.5345 -1.1736 15.1309 Br
2.3964 -5.3361 13.5534 Br
0.3849 -7.5272 2.3691 Br
-0.3123 -4.8076 10.5014 Br
0.2367 -1.7052 1.3727 Br
-0.5995 0.8228 8.7332 Br
-1.4331 -4.2774 4.2190 Br
1.2617 -2.7596 7.1340 Br
1.9855 -1.3700 11.1411 Br
-1.3496 0.3702 4.5518 Br
0.2806 -4.7111 1.7051 Sn
-0.4899 -1.9859 9.4270 Sn
0.4917 2.3518 14.7903 Ga
1.4779 -6.0459 8.4378 Ga
-1.3468 -7.5421 4.7959 Na
0.7794 -1.7112 4.4075 Na
1.8274 1.7958 10.1656 Na
0.1760 -3.3806 13.1903 Na



PBE NaGaSn2Br, relaxed; crystal system = tetragonal
1.0
-2.8393 -4.8965 -1.0255
4.4585 -2.3483 -1.1318
0.6068 -1.5075 5.5180
Br Ga Na Sn
1 1 1 2
Cartesian
0.0000 0.0000 0.0000 Br
1.1130 -4.3762 1.6803 Ga
2.2292 -1.1741 -0.5659 Na
-1.4197 -2.4483 -0.5127 Sn
0.3034 -0.7538 2.7590 Sn



PBE NaTbGa2Br6, relaxed; crystal system = monoclinic
1.0
7.4107 0.0000 0.1349
0.0000 8.1244 0.0000
0.2647 0.0000 10.8756
Br Ga Na Tb
12 4 2 2
Cartesian
1.4688 1.4436 4.9753 Br
6.2065 6.6808 6.0353 Br
1.2043 3.6179 8.2483 Br
1.3192 1.7214 0.8769 Br
2.8981 7.6801 8.1326 Br
5.1569 2.3408 6.3821 Br
4.7773 0.4444 2.8779 Br
6.4711 4.5066 2.7622 Br
6.3562 6.4030 10.1337 Br
5.3065 2.6186 10.4805 Br
2.5185 5.7836 4.6284 Br
2.3689 5.5058 0.5300 Br
3.6185 3.3342 2.3787 Ga
7.4562 0.7280 7.8840 Ga
4.0568 4.7902 8.6318 Ga
0.2192 7.3964 3.1265 Ga
0.1323 4.0622 5.4378 Na
3.7053 0.0000 0.0675 Na
0.0000 4.0622 0.0000 Tb
3.8377 0.0000 5.5053 Tb



PBE Na2TiGaBr6, relaxed; crystal system = trigonal
1.0
7.3309 0.0010 0.0015
3.6663 6.3488 0.0007
3.6666 2.1168 6.5913
Br Na Ga Ti
6 2 1 1
Cartesian
8.3606 2.4125 5.1126 Br
10.0252 4.0513 1.5576 Br
8.3951 6.0339 5.1121 Br
6.1433 6.6572 1.5565 Br
5.8253 1.9916 1.5570 Br
5.2408 4.2534 5.1124 Br
3.6665 2.1168 6.4174 Na
7.3318 4.2327 2.8353 Na
10.9990 6.3504 3.6770 Ga
3.6656 2.1168 0.1289 Ti



PBE NaTiGaBr6, relaxed; crystal system = trigonal
1.0
-0.4363 5.8256 -4.1654
-6.1878 1.6441 -3.2384
-1.7488 3.5474 5.1434
Br Ti Ga Na
6 1 1 1
Cartesian
-1.6874 4.6283 2.1937 Br
-4.4485 3.9555 -2.0149 Br
-3.6403 6.7409 0.0721 Br
-2.5919 1.7722 0.1215 Br
-1.0095 4.6376 -1.3148 Br
-5.1182 3.8474 1.5639 Br
-3.0825 4.2636 0.1035 Ti
-8.3721 11.0162 -2.2596 Ga
-5.2897 6.7525 -2.3633 Na



PBE NaTlGa2Br8, relaxed; crystal system = trigonal
1.0
6.9214 0.0000 0.0000
3.4607 5.9941 0.0000
3.4607 1.9980 9.9405
Na Br Ga Tl
1 8 2 1
Cartesian
0.0000 0.0000 0.0000 Na
9.1194 3.8640 1.8352 Br
3.4607 1.9980 4.9256 Br
5.9367 5.9656 1.8352 Br
4.7233 4.1281 8.1053 Br
7.9060 2.0265 8.1053 Br
8.1348 5.8335 8.1053 Br
10.3820 5.9941 5.0149 Br
5.7079 2.1586 1.8352 Br
10.3820 5.9941 7.3724 Ga
3.4607 1.9980 2.5681 Ga
6.9213 3.9960 4.9702 Tl



no.,ρ (Mg/m³),uncorrected formation energy (kJ/mol of atoms),magnetization (μB per formula unit)
1,3.43,-99.4,0.00
2,3.98,26.6,0.00
3,4.06,-123.2,0.00
4,3.48,-113.7,1.00
5,3.56,-104.5,0.00
6,4.05,-94.0,0.00